Material: CrPAuCl2
Method: DFT, GGA-PBE
State: optimized geometry

a b c (Å): 4.523 4.523 5.127
angles (deg): 90.00 90.00 90.00
Atoms (fractional coordinates):
1 Cr 0.000 0.000 0.000
2 Au 0.500 0.500 0.500
3 P 0.000 0.000 0.500
4 Cl 0.000 0.500 0.000
5 Cl 0.500 0.000 0.000

Calculated values
- uncorrected energy (eV/atom) = -4.22
- space-group type = P4/mmm
- offset from the most stable computed form (meV/atom) = 0

Material: CrPAuCl2
Method: DFT, GGA-PBE
State: optimized geometry

a b c (Å): 5.106 5.106 4.819
angles (deg): 90.00 90.00 90.00
Atoms (fractional coordinates):
1 Cr 0.500 0.500 0.500
2 Au 0.000 0.000 0.000
3 P 0.000 0.000 0.500
4 Cl 0.000 0.500 0.000
5 Cl 0.500 0.000 0.000

Calculated values
- uncorrected energy (eV/atom) = -3.78
- space-group type = P4/mmm
- offset from the most stable computed form (meV/atom) = 446

Material: CrReAuCl2
Method: DFT, GGA-PBE
State: optimized geometry

a b c (Å): 4.551 5.528 4.551
angles (deg): 90.00 90.00 90.00
Atoms (fractional coordinates):
1 Re 0.000 0.000 0.000
2 Cl 0.000 0.000 0.500
3 Cl 0.500 0.000 0.000
4 Au 0.000 0.500 0.000
5 Cr 0.500 0.500 0.500

Calculated values
- uncorrected energy (eV/atom) = -5.03
- space-group type = P4/mmm

Material: CrRuAu2Cl
Method: DFT, GGA-PBE
State: optimized geometry

a b c (Å): 4.761 4.286 4.761
angles (deg): 90.00 90.00 90.00
Atoms (fractional coordinates):
1 Ru 0.500 0.500 0.500
2 Cl 0.000 0.000 0.000
3 Au 0.000 0.000 0.500
4 Au 0.500 0.000 0.000
5 Cr 0.000 0.500 0.000

Calculated values
- uncorrected energy (eV/atom) = -4.10
- space-group type = P4/mmm

Material: CrAuS2Cl
Method: DFT, GGA-PBE
State: optimized geometry

a b c (Å): 4.594 4.594 4.729
angles (deg): 90.00 90.00 90.00
Atoms (fractional coordinates):
1 Cr 0.000 0.000 0.000
2 S 0.000 0.500 0.000
3 S 0.500 0.000 0.000
4 Au 0.500 0.500 0.500
5 Cl 0.000 0.000 0.500

Calculated values
- uncorrected energy (eV/atom) = -4.41
- space-group type = P4/mmm
- offset from the most stable computed form (meV/atom) = 0

Material: CrAuSCl2
Method: DFT, GGA-PBE
State: optimized geometry

a b c (Å): 4.696 4.696 4.756
angles (deg): 90.00 90.00 90.00
Atoms (fractional coordinates):
1 Cr 0.000 0.000 0.000
2 S 0.000 0.000 0.500
3 Au 0.500 0.500 0.500
4 Cl 0.000 0.500 0.000
5 Cl 0.500 0.000 0.000

Calculated values
- uncorrected energy (eV/atom) = -4.19
- space-group type = P4/mmm
- offset from the most stable computed form (meV/atom) = 0

Material: SrCrAuCl2
Method: DFT, GGA-PBE
State: optimized geometry

a b c (Å): 5.462 6.157 5.462
angles (deg): 90.00 90.00 90.00
Atoms (fractional coordinates):
1 Sr 0.000 0.000 0.000
2 Cl 0.000 0.000 0.500
3 Cl 0.500 0.000 0.000
4 Au 0.000 0.500 0.000
5 Cr 0.500 0.500 0.500

Calculated values
- uncorrected energy (eV/atom) = -4.08
- space-group type = P4/mmm

Material: Cr2TcAuCl
Method: DFT, GGA-PBE
State: optimized geometry

a b c (Å): 5.094 5.160 5.094
angles (deg): 90.00 90.00 90.00
Atoms (fractional coordinates):
1 Cr 0.000 0.000 0.500
2 Cr 0.500 0.000 0.000
3 Au 0.000 0.000 0.000
4 Tc 0.000 0.500 0.000
5 Cl 0.500 0.500 0.500

Calculated values
- uncorrected energy (eV/atom) = -5.54
- space-group type = P4/mmm

Material: CrTe2AuCl
Method: DFT, GGA-PBE
State: optimized geometry

a b c (Å): 5.398 5.124 5.398
angles (deg): 90.00 90.00 90.00
Atoms (fractional coordinates):
1 Cr 0.000 0.500 0.000
2 Te 0.000 0.000 0.500
3 Te 0.500 0.000 0.000
4 Au 0.000 0.000 0.000
5 Cl 0.500 0.500 0.500

Calculated values
- uncorrected energy (eV/atom) = -3.13
- space-group type = P4/mmm

Material: CrTeAu2Cl
Method: DFT, GGA-PBE
State: optimized geometry

a b c (Å): 5.021 4.842 5.021
angles (deg): 90.00 90.00 90.00
Atoms (fractional coordinates):
1 Cr 0.000 0.000 0.000
2 Te 0.000 0.500 0.000
3 Au 0.000 0.000 0.500
4 Au 0.500 0.000 0.000
5 Cl 0.500 0.500 0.500

Calculated values
- uncorrected energy (eV/atom) = -3.54
- space-group type = P4/mmm

Material: Cr2WAuCl
Method: DFT, GGA-PBE
State: optimized geometry

a b c (Å): 4.284 4.735 4.284
angles (deg): 90.00 90.00 90.00
Atoms (fractional coordinates):
1 Cr 0.000 0.000 0.500
2 Cr 0.500 0.000 0.000
3 Au 0.000 0.500 0.000
4 W 0.500 0.500 0.500
5 Cl 0.000 0.000 0.000

Calculated values
- uncorrected energy (eV/atom) = -6.04
- space-group type = P4/mmm

Material: CsAu2Cl7
Method: DFT, GGA-PBE
State: optimized geometry

a b c (Å): 4.691 9.959 9.959
angles (deg): 133.87 90.00 90.00
Atoms (fractional coordinates):
1 Cs 0.000 0.000 0.000
2 Au 0.500 0.641 0.359
3 Au 0.500 0.359 0.641
4 Cl 0.000 0.681 0.319
5 Cl 0.000 0.319 0.681
6 Cl 0.500 0.061 0.342
7 Cl 0.500 0.939 0.658
8 Cl 0.500 0.342 0.061
9 Cl 0.500 0.658 0.939
10 Cl 0.500 0.500 0.500

Calculated values
- uncorrected energy (eV/atom) = -2.56
- space-group type = Cmmm

Material: Cs2AuCl
Method: DFT, GGA-PBE
State: optimized geometry

a b c (Å): 8.095 8.095 9.736
angles (deg): 65.43 65.43 90.00
Atoms (fractional coordinates):
1 Cs 0.605 0.125 0.250
2 Cs 0.145 0.625 0.250
3 Cs 0.375 0.395 0.750
4 Cs 0.875 0.855 0.750
5 Au 0.000 0.000 0.000
6 Au 0.750 0.250 0.500
7 Cl 0.500 0.500 0.000
8 Cl 0.250 0.750 0.500

Calculated values
- uncorrected energy (eV/atom) = -2.77
- space-group type = I-42d
- offset from the most stable computed form (meV/atom) = 85

Material: Cs2Au2Cl7
Method: DFT, GGA-PBE
State: optimized geometry

a b c (Å): 4.854 9.754 9.754
angles (deg): 96.24 73.10 73.10
Atoms (fractional coordinates):
1 Cs 0.500 0.277 0.723
2 Cs 0.500 0.723 0.277
3 Au 0.310 0.793 0.793
4 Au 0.690 0.207 0.207
5 Cl 0.279 0.635 0.955
6 Cl 0.721 0.045 0.365
7 Cl 0.721 0.365 0.045
8 Cl 0.279 0.955 0.635
9 Cl 0.291 0.399 0.399
10 Cl 0.000 0.000 0.000
11 Cl 0.709 0.601 0.601

Calculated values
- uncorrected energy (eV/atom) = -2.85
- space-group type = C2/m

Material: Cs6AuCl4
Method: DFT, GGA-PBE
State: optimized geometry

a b c (Å): 4.971 8.740 25.884
angles (deg): 90.00 90.00 106.52
Atoms (fractional coordinates):
1 Cs 0.500 0.000 0.000
2 Cs 0.500 0.000 0.500
3 Cs 0.046 0.092 0.338
4 Cs 0.954 0.908 0.662
5 Cs 0.954 0.908 0.838
6 Cs 0.046 0.092 0.162
7 Cs 0.773 0.547 0.417
8 Cs 0.227 0.453 0.583
9 Cs 0.227 0.453 0.917
10 Cs 0.773 0.547 0.083
11 Cs 0.319 0.639 0.250
12 Cs 0.681 0.361 0.750
13 Au 0.653 0.305 0.250
14 Au 0.347 0.695 0.750
15 Cl 0.863 0.725 0.541
16 Cl 0.406 0.812 0.123
17 Cl 0.137 0.275 0.459
18 Cl 0.594 0.188 0.877
19 Cl 0.863 0.725 0.959
20 Cl 0.137 0.275 0.041
21 Cl 0.594 0.188 0.623
22 Cl 0.406 0.812 0.377

Calculated values
- uncorrected energy (eV/atom) = -2.89
- space-group type = Cmcm

Material: CsAu2Cl
Method: DFT, GGA-PBE
State: optimized geometry

a b c (Å): 5.547 5.547 5.547
angles (deg): 60.00 60.00 60.00
Atoms (fractional coordinates):
1 Cs 0.500 0.500 0.500
2 Au 0.250 0.250 0.250
3 Au 0.750 0.750 0.750
4 Cl 0.000 0.000 0.000

Calculated values
- uncorrected energy (eV/atom) = -2.03
- space-group type = Fm-3m

Material: CsAuCl4
Method: DFT, GGA-PBE
State: optimized geometry

a b c (Å): 5.255 7.446 9.723
angles (deg): 90.00 105.68 90.00
Atoms (fractional coordinates):
1 Cs 0.379 0.750 0.759
2 Cs 0.621 0.250 0.241
3 Au 0.092 0.750 0.184
4 Au 0.908 0.250 0.816
5 Cl 0.182 0.521 0.365
6 Cl 0.818 0.479 0.635
7 Cl 0.182 0.979 0.365
8 Cl 0.818 0.021 0.635
9 Cl 0.587 0.750 0.174
10 Cl 0.413 0.250 0.826
11 Cl 0.000 0.500 0.000
12 Cl 0.000 0.000 0.000

Calculated values
- uncorrected energy (eV/atom) = -2.71
- space-group type = Cmcm

Material: Cs6AuCl
Method: DFT, GGA-PBE
State: optimized geometry

a b c (Å): 9.076 9.076 17.247
angles (deg): 90.00 90.00 120.00
Atoms (fractional coordinates):
1 Cs 0.310 0.328 0.377
2 Cs 0.690 0.672 0.623
3 Cs 0.018 0.690 0.377
4 Cs 0.310 0.982 0.123
5 Cs 0.982 0.310 0.623
6 Cs 0.690 0.018 0.877
7 Cs 0.672 0.982 0.377
8 Cs 0.018 0.328 0.123
9 Cs 0.328 0.018 0.623
10 Cs 0.982 0.672 0.877
11 Cs 0.672 0.690 0.123
12 Cs 0.328 0.310 0.877
13 Au 0.333 0.667 0.250
14 Au 0.667 0.333 0.750
15 Cl 0.000 0.000 0.500
16 Cl 0.000 0.000 0.000

Calculated values
- uncorrected energy (eV/atom) = -1.83
- space-group type = P-31c

Material: Cs2AuCl
Method: DFT, GGA-PBE
State: optimized geometry

a b c (Å): 4.265 4.265 8.683
angles (deg): 90.00 90.00 90.00
Atoms (fractional coordinates):
1 Cs 0.000 0.000 0.738
2 Cs 0.000 0.000 0.262
3 Au 0.500 0.500 0.000
4 Cl 0.500 0.500 0.500

Calculated values
- uncorrected energy (eV/atom) = -2.82
- space-group type = P4/mmm
- offset from the most stable computed form (meV/atom) = 25

Material: Cs3Au5Cl12
Method: DFT, GGA-PBE
State: optimized geometry

a b c (Å): 14.898 14.898 14.898
angles (deg): 109.47 109.47 109.47
Atoms (fractional coordinates):
1 Cs 0.750 0.375 0.125
2 Cs 0.875 0.750 0.125
3 Cs 0.375 0.750 0.625
4 Cs 0.250 0.125 0.375
5 Cs 0.875 0.125 0.250
6 Cs 0.375 0.625 0.250
7 Cs 0.625 0.375 0.750
8 Cs 0.125 0.875 0.750
9 Cs 0.750 0.875 0.625
10 Cs 0.625 0.250 0.375
11 Cs 0.125 0.250 0.875
12 Cs 0.250 0.625 0.875
13 Au 0.125 0.375 0.250
14 Au 0.000 0.500 0.000
15 Au 0.000 0.000 0.000
16 Au 0.375 0.250 0.125
17 Au 0.500 0.000 0.500
18 Au 0.500 0.500 0.000
19 Au 0.125 0.750 0.375
20 Au 0.750 0.125 0.875
21 Au 0.750 0.625 0.375
22 Au 0.375 0.125 0.750
23 Au 0.625 0.875 0.250
24 Au 0.500 0.500 0.500
25 Au 0.500 0.000 0.000
26 Au 0.000 0.000 0.500
27 Au 0.250 0.375 0.625
28 Au 0.250 0.875 0.125
29 Au 0.000 0.500 0.500
30 Au 0.875 0.250 0.625
31 Au 0.625 0.750 0.875
32 Au 0.875 0.625 0.750
33 Cl 0.681 0.103 0.004
34 Cl 0.323 0.504 0.401
35 Cl 0.996 0.397 0.319
36 Cl 0.504 0.181 0.103
37 Cl 0.578 0.681 0.677
38 Cl 0.996 0.599 0.177
39 Cl 0.323 0.819 0.422
40 Cl 0.099 0.922 0.103
41 Cl 0.599 0.996 0.677
42 Cl 0.681 0.578 0.177
43 Cl 0.819 0.496 0.397
44 Cl 0.823 0.901 0.004
45 Cl 0.103 0.681 0.504
46 Cl 0.397 0.401 0.078
47 Cl 0.078 0.901 0.397
48 Cl 0.422 0.103 0.599
49 Cl 0.078 0.177 0.181
50 Cl 0.496 0.677 0.099
51 Cl 0.823 0.922 0.319
52 Cl 0.103 0.422 0.099
53 Cl 0.397 0.996 0.819
54 Cl 0.599 0.603 0.422
55 Cl 0.901 0.823 0.504
56 Cl 0.819 0.323 0.922
57 Cl 0.401 0.397 0.578
58 Cl 0.099 0.177 0.496
59 Cl 0.181 0.677 0.078
60 Cl 0.177 0.078 0.681
61 Cl 0.603 0.004 0.181
62 Cl 0.897 0.578 0.901
63 Cl 0.504 0.323 0.901
64 Cl 0.578 0.897 0.401
65 Cl 0.922 0.823 0.819
66 Cl 0.922 0.099 0.603
67 Cl 0.897 0.319 0.496
68 Cl 0.177 0.099 0.996
69 Cl 0.603 0.599 0.922
70 Cl 0.401 0.004 0.323
71 Cl 0.319 0.422 0.823
72 Cl 0.181 0.504 0.603
73 Cl 0.901 0.078 0.897
74 Cl 0.677 0.181 0.578
75 Cl 0.496 0.819 0.897
76 Cl 0.004 0.401 0.823
77 Cl 0.422 0.319 0.323
78 Cl 0.004 0.603 0.681
79 Cl 0.677 0.496 0.599
80 Cl 0.319 0.897 0.996

Calculated values
- uncorrected energy (eV/atom) = -2.73
- space-group type = Ia-3d